No. 1
Here is crystalline Cs2MnSnBr6 at its relaxed geometry from Alexandria via LeMat-Bulk. Energies are from PBE.

a = 7.9999 Å, b = 7.9999 Å, c = 7.9999 Å
α = 60.00°, β = 60.00°, γ = 60.00°
Fractional positions:
Cs 0.2500 0.2500 0.2500
Cs 0.7500 0.7500 0.7500
Mn 0.0000 0.0000 0.0000
Sn 0.5000 0.5000 0.5000
Br 0.2379 0.2379 0.7621
Br 0.2379 0.7621 0.2379
Br 0.2379 0.7621 0.7621
Br 0.7621 0.2379 0.2379
Br 0.7621 0.2379 0.7621
Br 0.7621 0.7621 0.2379

The formation energy (no corrections) comes out at -1210 meV per atom.


No. 2
Here is crystalline CeAl2SiGe at its relaxed geometry from Alexandria via LeMat-Bulk. Energies are from PBE.

a = 4.1946 Å, b = 4.1946 Å, c = 6.8771 Å
α = 90.00°, β = 90.00°, γ = 90.00°
Fractional positions:
Ce 0.0000 0.0000 0.0000
Al 0.0000 0.5000 0.3437
Al 0.5000 0.0000 0.3437
Si 0.5000 0.5000 0.1075
Ge 0.0000 0.0000 0.5547

The formation energy (no corrections) comes out at -182 meV per atom.


No. 3
Here is crystalline KY3Cr at its relaxed geometry from Alexandria via LeMat-Bulk. Energies are from PBE.

a = 5.3548 Å, b = 5.3548 Å, c = 5.3548 Å
α = 90.00°, β = 90.00°, γ = 90.00°
Fractional positions:
K 0.0000 0.0000 0.0000
Y 0.0000 0.0000 0.5000
Y 0.0000 0.5000 0.0000
Y 0.5000 0.0000 0.0000
Cr 0.5000 0.5000 0.5000

The relative energy among the computed polymorphs comes out at 1074 meV per atom. For the formation energy, the calculation gives 1.55 eV per atom.


No. 4
Here is crystalline La2AlW at its relaxed geometry from Alexandria via LeMat-Bulk. Energies are from PBE.

a = 5.0757 Å, b = 5.0757 Å, c = 5.0757 Å
α = 60.00°, β = 60.00°, γ = 60.00°
Fractional positions:
La 0.0000 0.0000 0.0000
La 0.2500 0.2500 0.2500
Al 0.5000 0.5000 0.5000
W 0.7500 0.7500 0.7500

For the formation energy, the calculation gives 0.41 eV per atom.


No. 5
Here is crystalline LaMn3 at its relaxed geometry from Alexandria via LeMat-Bulk. Energies are from PBE.

a = 5.3170 Å, b = 5.3170 Å, c = 5.3170 Å
α = 90.00°, β = 90.00°, γ = 90.00°
Fractional positions:
La 0.0000 0.0000 0.0000
La 0.5000 0.5000 0.5000
Mn 0.0000 0.2500 0.5000
Mn 0.0000 0.7500 0.5000
Mn 0.2500 0.5000 0.0000
Mn 0.5000 0.0000 0.2500
Mn 0.5000 0.0000 0.7500
Mn 0.7500 0.5000 0.0000

For the formation energy, the calculation gives 0.57 eV per atom.


no.,uncorrected energy (eV per atom)
1,-3.702
2,-4.874
3,-4.475
4,-6.228
5,-7.535